# Pr4Nd5Sm2 | the Alexandria database | PBE | optimized geometry
# Calculated volume, A^3/atom: 36.565
# E above lowest polymorph, meV/atom: 91
# ΔE_f, eV per atom: 0.219
# M_tot, Bohr magnetons per cell: 0.00
# D(E_F), states/eV per cell: 31.926
data_Pr4Nd5Sm2
_space_group_name_H-M_alt 'I m m m'
_space_group_IT_number 71
_space_group_name_Hall '-I 2 2'
_cell_length_a 3.5793
_cell_length_b 9.5402
_cell_length_c 23.5576
_cell_angle_alpha 90.00
_cell_angle_beta 90.00
_cell_angle_gamma 90.00
loop_
_atom_site_label
_atom_site_type_symbol
_atom_site_fract_x
_atom_site_fract_y
_atom_site_fract_z
_atom_site_occupancy
Pr1 Pr 0.0000 0.0000 0.0956 1
Pr2 Pr 0.0000 0.2965 0.5000 1
Nd1 Nd 0.0000 0.2008 0.3511 1
Nd2 Nd 0.0000 0.5000 0.0000 1
Sm1 Sm 0.0000 0.0000 0.2302 1